Record 1
DFT (PBE-GGA) results for MgRe2P after structural relaxation.

As for the distance to the lowest polymorph of the same formula: 381 meV per atom. Its density of states at the Fermi level is 3.9 states/eV/cell. The symmetry is F-43m. The value obtained for the formation enthalpy at 0 K is 0.368 eV/atom.

```
data_MgRe2P
_chemical_formula_sum 'Mg1 Re2 P1'
_space_group_name_H-M_alt 'P 1'
_space_group_IT_number 1
_space_group_name_Hall 'P 1'
_cell_length_a 4.3953
_cell_length_b 4.3953
_cell_length_c 4.3953
_cell_angle_alpha 60.00
_cell_angle_beta 60.00
_cell_angle_gamma 60.00
loop_
_atom_site_label
_atom_site_fract_x
_atom_site_fract_y
_atom_site_fract_z
_atom_site_occupancy
Mg1 0.0000 0.0000 0.0000 1
Re1 0.5000 0.5000 0.5000 1
Re2 0.7500 0.7500 0.7500 1
P1 0.2500 0.2500 0.2500 1
```


Record 2
DFT (PBE-GGA) results for Sr8As3SI4 after structural relaxation.

The formation energy without anion corrections comes out at -1500 meV per atom. Its density of states at the Fermi level is 3.4 states/eV/cell. The symmetry is R-3m.

```
data_Sr8As3SI4
_chemical_formula_sum 'Sr8 As3 S1 I4'
_space_group_name_H-M_alt 'P 1'
_space_group_IT_number 1
_space_group_name_Hall 'P 1'
_cell_length_a 9.4456
_cell_length_b 9.4456
_cell_length_c 9.4456
_cell_angle_alpha 57.89
_cell_angle_beta 57.89
_cell_angle_gamma 57.89
loop_
_atom_site_label
_atom_site_fract_x
_atom_site_fract_y
_atom_site_fract_z
_atom_site_occupancy
Sr1 0.2323 0.7340 0.7340 1
Sr2 0.2342 0.2342 0.2342 1
Sr3 0.2660 0.2660 0.7677 1
Sr4 0.2660 0.7677 0.2660 1
Sr5 0.7340 0.2323 0.7340 1
Sr6 0.7340 0.7340 0.2323 1
Sr7 0.7658 0.7658 0.7658 1
Sr8 0.7677 0.2660 0.2660 1
As1 0.0000 0.0000 0.5000 1
As2 0.0000 0.5000 0.0000 1
As3 0.5000 0.0000 0.0000 1
S1 0.5000 0.5000 0.5000 1
I1 0.0000 0.0000 0.0000 1
I2 0.0000 0.5000 0.5000 1
I3 0.5000 0.0000 0.5000 1
I4 0.5000 0.5000 0.0000 1
```


What is the formula in the second record?
Sr8As3SI4